(1)
The following is a DFT calculation (GGA-PBE) of a relaxed structure of MnNi3Rh6.

Cell and atoms, written as extended XYZ:
```
20
Lattice="4.212 0.001 0.000 0.015 8.130 0.000 0.000 0.000 8.435" Properties=species:S:1:pos:R:3 pbc="T T T"
Mn 2.114 4.065 4.217
Mn 0.000 0.000 0.000
Ni 2.054 2.023 0.387
Ni 2.106 0.000 4.217
Ni 2.174 6.108 8.048
Ni 4.168 6.089 3.831
Ni 0.008 4.065 0.000
Ni 0.060 2.042 4.604
Rh 2.099 0.365 6.957
Rh 2.107 3.745 7.014
Rh 2.098 6.129 5.598
Rh 2.130 2.002 2.837
Rh 2.121 4.386 1.421
Rh 2.128 7.766 1.478
Rh 4.213 4.430 5.695
Rh 4.220 7.810 5.638
Rh 4.196 2.064 7.054
Rh 0.032 6.067 1.381
Rh 0.007 0.321 2.797
Rh 0.015 3.701 2.740
```

Properties
For the formation energy, the calculation gives 0.26 eV per atom. The calculation puts the magnetic moment at 13.6 μB/cell. The total energy comes out at -68.07 eV per formula unit.

=====

(2)
The following is a DFT calculation (GGA-PBE) of a relaxed structure of Pm8Ge3PBr4.

Cell and atoms, written as extended XYZ:
```
16
Lattice="8.467 0.000 0.000 0.000 8.761 0.204 -4.233 -4.232 5.990" Properties=species:S:1:pos:R:3 pbc="T T T"
Pm -2.159 2.074 5.985
Pm 0.000 4.232 2.931
Pm 0.000 0.298 3.203
Pm 2.159 2.074 5.985
Pm 2.074 2.455 0.208
Pm 4.233 4.232 2.990
Pm 4.233 0.297 3.263
Pm 6.393 2.455 0.208
Ge 4.233 4.380 0.102
Ge 2.117 2.265 3.097
Ge -2.117 2.265 3.097
P 0.000 4.380 0.102
Br 4.233 0.000 0.000
Br 2.117 -2.116 2.995
Br 0.000 0.000 0.000
Br -2.117 -2.116 2.995
```

Properties
The calculation puts the magnetic moment at 0.0 μB/cell. The total energy comes out at -83.73 eV per formula unit.

=====

(3)
The following is a DFT calculation (GGA-PBE) of a relaxed structure of Sc2CuPt3.

Cell and atoms, written as extended XYZ:
```
12
Lattice="-1.733 -7.011 -0.548 0.674 0.422 -7.530 4.664 2.248 4.351" Properties=species:S:1:pos:R:3 pbc="T T T"
Sc 2.357 -2.070 0.095
Sc 0.227 -5.256 -0.274
Sc 3.379 0.915 -3.453
Sc 1.249 -2.271 -3.822
Cu 0.337 0.211 -3.765
Cu 0.000 0.000 0.000
Pt -0.698 -3.400 -2.156
Pt -0.361 -3.189 -5.921
Pt 1.579 -4.272 1.806
Pt 1.689 -0.279 -1.768
Pt 2.026 -0.068 -5.533
Pt 1.916 -4.062 -1.959
```

Properties
For the formation energy, the calculation gives -0.62 eV per atom. The calculation puts the magnetic moment at 0.0 μB/cell. The total energy comes out at -38.60 eV per formula unit.

=====

(4)
The following is a DFT calculation (GGA-PBE) of a relaxed structure of CaTe2Se.

Cell and atoms, written as extended XYZ:
```
4
Lattice="-6.761 -3.243 0.479 -2.392 -6.774 2.201 4.327 5.976 1.423" Properties=species:S:1:pos:R:3 pbc="T T T"
Ca -4.112 -4.500 1.204
Te -0.279 -0.306 0.082
Te -3.421 -1.046 1.596
Se -1.590 -3.198 2.561
```

Properties
The calculation puts the magnetic moment at 0.0 μB/cell. The total energy comes out at -14.31 eV per formula unit.

=====

(5)
The following is a DFT calculation (GGA-PBE) of a relaxed structure of LiTe2RuCl.

Cell and atoms, written as extended XYZ:
```
5
Lattice="5.630 0.000 0.000 0.000 4.384 0.000 0.000 0.000 5.630" Properties=species:S:1:pos:R:3 pbc="T T T"
Ru 0.000 2.192 0.000
Te 0.000 0.000 2.815
Te 2.815 0.000 0.000
Li 2.815 2.192 2.815
Cl 0.000 0.000 0.000
```

Properties
The calculation puts the magnetic moment at 1.7 μB/cell. The total energy comes out at -15.60 eV per formula unit.